The following is a DFT calculation (PBEsol) of a geometry-optimized BeSb2CI structure.

Lattice parameters (Å, degrees): 4.827 4.827 4.955 90.00 90.00 90.00
Fractional coordinates of all 5 atoms:
Be  0.000  0.000  0.000
Sb  0.000  0.500  0.000
Sb  0.500  0.000  0.000
C  0.500  0.500  0.500
I  0.000  0.000  0.500

## Properties
Energy relative to the elements, uncorrected, eV per formula unit: 8.6
Space-group type: P4/mmm
Total DFT energy (no corrections), eV per cell: -15.92
Volume, Å³ per cell: 115

---

The following is a DFT calculation (PBEsol) of a geometry-optimized Be2InSbC structure.

Lattice parameters (Å, degrees): 4.330 4.330 5.854 90.00 90.00 90.00
Fractional coordinates of all 5 atoms:
Be  0.000  0.500  0.000
Be  0.500  0.000  0.000
In  0.000  0.000  0.000
Sb  0.000  0.000  0.500
C  0.500  0.500  0.500

## Properties
Energy relative to the elements, uncorrected, eV per formula unit: 10.8
Space-group type: P4/mmm
Total DFT energy (no corrections), eV per cell: -14.39
Volume, Å³ per cell: 110

---

The following is a DFT calculation (PBEsol) of a geometry-optimized BeNb2IrC structure.

Lattice parameters (Å, degrees): 4.799 4.799 3.979 90.00 90.00 90.00
Fractional coordinates of all 5 atoms:
Be  0.000  0.000  0.000
Nb  0.000  0.500  0.500
Nb  0.500  0.000  0.500
Ir  0.000  0.000  0.500
C  0.500  0.500  0.000

## Properties
Formation energy, meV per atom: 1864
Space-group type: P4/mmm
Total DFT energy (no corrections), eV per cell: -35.79
Volume, Å³ per cell: 92

---

The following is a DFT calculation (PBEsol) of a geometry-optimized KBeC3 structure.

Lattice parameters (Å, degrees): 4.206 4.206 4.206 90.00 90.00 90.00
Fractional coordinates of all 5 atoms:
K  0.000  0.000  0.000
Be  0.500  0.500  0.500
C  0.000  0.000  0.500
C  0.000  0.500  0.000
C  0.500  0.000  0.000

## Properties
Formation energy, meV per atom: 4641
Space-group type: Pm-3m
Total DFT energy (no corrections), eV per cell: -10.86
Volume, Å³ per cell: 74

---

The following is a DFT calculation (PBEsol) of a geometry-optimized K2BeC4O8 structure.

Lattice parameters (Å, degrees): 13.368 8.885 6.641 90.00 90.00 90.00
Fractional coordinates of all 60 atoms:
K  0.105  0.002  0.189
K  0.105  0.498  0.189
K  0.395  0.502  0.689
K  0.395  0.998  0.689
K  0.605  0.002  0.311
K  0.605  0.498  0.311
K  0.895  0.502  0.811
K  0.895  0.998  0.811
Be  0.246  0.250  0.924
Be  0.254  0.750  0.424
Be  0.746  0.250  0.576
Be  0.754  0.750  0.076
C  0.092  0.250  0.740
C  0.142  0.663  0.679
C  0.142  0.837  0.679
C  0.180  0.250  0.589
C  0.320  0.750  0.089
C  0.358  0.163  0.179
C  0.358  0.337  0.179
C  0.408  0.750  0.240
C  0.592  0.250  0.760
C  0.642  0.663  0.821
C  0.642  0.837  0.821
C  0.680  0.250  0.911
C  0.820  0.750  0.411
C  0.858  0.163  0.321
C  0.858  0.337  0.321
C  0.908  0.750  0.260
O  0.003  0.250  0.685
O  0.090  0.587  0.794
O  0.090  0.913  0.794
O  0.124  0.250  0.925
O  0.168  0.250  0.405
O  0.202  0.610  0.542
O  0.202  0.890  0.542
O  0.234  0.750  0.182
O  0.266  0.250  0.682
O  0.298  0.110  0.042
O  0.298  0.390  0.042
O  0.332  0.750  0.905
O  0.376  0.750  0.425
O  0.410  0.087  0.294
O  0.410  0.413  0.294
O  0.497  0.750  0.185
O  0.503  0.250  0.815
O  0.590  0.587  0.706
O  0.590  0.913  0.706
O  0.624  0.250  0.575
O  0.668  0.250  0.095
O  0.702  0.610  0.958
O  0.702  0.890  0.958
O  0.734  0.750  0.318
O  0.766  0.250  0.818
O  0.798  0.110  0.458
O  0.798  0.390  0.458
O  0.832  0.750  0.595
O  0.876  0.750  0.075
O  0.910  0.087  0.206
O  0.910  0.413  0.206
O  0.997  0.750  0.315

## Properties
Energy relative to the elements, uncorrected, eV per formula unit: -23.9
Space-group type: Pnma
Total DFT energy (no corrections), eV per cell: -442.85
Volume, Å³ per cell: 789

---

The following is a DFT calculation (PBEsol) of a geometry-optimized K3BePCO7 structure.

Lattice parameters (Å, degrees): 4.940 8.814 9.848 90.00 90.04 90.00
Fractional coordinates of all 26 atoms:
K  0.209  0.250  0.075
K  0.284  0.026  0.695
K  0.284  0.474  0.695
K  0.716  0.526  0.305
K  0.716  0.974  0.305
K  0.791  0.750  0.925
Be  0.232  0.750  0.429
Be  0.768  0.250  0.571
P  0.254  0.250  0.402
P  0.746  0.750  0.598
C  0.202  0.750  0.164
C  0.798  0.250  0.836
O  0.056  0.250  0.829
O  0.070  0.250  0.532
O  0.212  0.105  0.320
O  0.212  0.395  0.320
O  0.333  0.750  0.053
O  0.342  0.750  0.282
O  0.445  0.750  0.543
O  0.555  0.250  0.457
O  0.658  0.250  0.718
O  0.667  0.250  0.947
O  0.788  0.605  0.680
O  0.788  0.895  0.680
O  0.930  0.750  0.468
O  0.944  0.750  0.171

## Properties
Energy relative to the elements, uncorrected, eV per formula unit: -27.3
Space-group type: P2_1/m
Total DFT energy (no corrections), eV per cell: -173.83
Volume, Å³ per cell: 429

---

The following is a DFT calculation (PBEsol) of a geometry-optimized KBeSbC2 structure.

Lattice parameters (Å, degrees): 4.106 4.106 4.664 90.00 90.00 90.00
Fractional coordinates of all 5 atoms:
K  0.000  0.000  0.000
Be  0.500  0.500  0.500
Sb  0.500  0.500  0.000
C  0.000  0.500  0.500
C  0.500  0.000  0.500

## Properties
Energy relative to the elements, uncorrected, eV per formula unit: 9.8
Space-group type: P4/mmm
Total DFT energy (no corrections), eV per cell: -19.21
Volume, Å³ per cell: 79

---

The following is a DFT calculation (PBEsol) of a geometry-optimized LiTa2BeC structure.

Lattice parameters (Å, degrees): 4.354 4.354 3.210 90.00 90.00 90.00
Fractional coordinates of all 5 atoms:
Li  0.000  0.000  0.000
Ta  0.000  0.500  0.000
Ta  0.500  0.000  0.000
Be  0.500  0.500  0.500
C  0.000  0.000  0.500

## Properties
Formation energy, meV per atom: 1497
Space-group type: P4/mmm
Total DFT energy (no corrections), eV per cell: -33.23
Volume, Å³ per cell: 61

---

The following is a DFT calculation (PBEsol) of a geometry-optimized MnBePb2C structure.

Lattice parameters (Å, degrees): 5.105 5.105 3.627 90.00 90.00 90.00
Fractional coordinates of all 5 atoms:
Mn  0.000  0.000  0.000
Be  0.500  0.500  0.500
Pb  0.000  0.500  0.000
Pb  0.500  0.000  0.000
C  0.000  0.000  0.500

## Properties
Formation energy, meV per atom: 1063
Space-group type: P4/mmm
Total DFT energy (no corrections), eV per cell: -26.09
Volume, Å³ per cell: 95

---

The following is a DFT calculation (PBEsol) of a geometry-optimized MnBe2SbC structure.

Lattice parameters (Å, degrees): 3.766 3.766 3.877 90.00 90.00 90.00
Fractional coordinates of all 5 atoms:
Mn  0.000  0.000  0.000
Be  0.000  0.500  0.500
Be  0.500  0.000  0.500
Sb  0.500  0.500  0.000
C  0.000  0.000  0.500

## Properties
Energy relative to the elements, uncorrected, eV per formula unit: 1.8
Space-group type: P4/mmm
Total DFT energy (no corrections), eV per cell: -30.16
Volume, Å³ per cell: 55

---

The following is a DFT calculation (PBEsol) of a geometry-optimized BeMoC3 structure.

Lattice parameters (Å, degrees): 4.013 4.013 4.013 90.00 90.00 90.00
Fractional coordinates of all 5 atoms:
Be  0.000  0.000  0.000
Mo  0.500  0.500  0.500
C  0.000  0.500  0.500
C  0.500  0.000  0.500
C  0.500  0.500  0.000

## Properties
Formation energy, meV per atom: 2275
Space-group type: Pm-3m
Total DFT energy (no corrections), eV per cell: -33.32
Volume, Å³ per cell: 65

---

The following is a DFT calculation (PBEsol) of a geometry-optimized BeCN2O structure.

Lattice parameters (Å, degrees): 3.385 3.385 3.429 90.00 90.00 90.00
Fractional coordinates of all 5 atoms:
Be  0.000  0.000  0.000
C  0.500  0.500  0.500
N  0.000  0.500  0.000
N  0.500  0.000  0.000
O  0.000  0.000  0.500

## Properties
Energy relative to the elements, uncorrected, eV per formula unit: 10.9
Space-group type: P4/mmm
Total DFT energy (no corrections), eV per cell: -25.03
Volume, Å³ per cell: 39

---

The following is a DFT calculation (PBEsol) of a geometry-optimized Be2SiCN structure.

Lattice parameters (Å, degrees): 3.049 3.049 7.684 90.00 90.00 90.00
Fractional coordinates of all 5 atoms:
Be  0.000  0.500  0.000
Be  0.500  0.000  0.000
Si  0.000  0.000  0.500
C  0.500  0.500  0.000
N  0.500  0.500  0.500

## Properties
Energy relative to the elements, uncorrected, eV per formula unit: 3.8
Space-group type: P4/mmm
Total DFT energy (no corrections), eV per cell: -28.14
Volume, Å³ per cell: 71

---

The following is a DFT calculation (PBEsol) of a geometry-optimized Na2BeC structure.

Lattice parameters (Å, degrees): 4.339 4.339 4.339 60.00 60.00 60.00
Fractional coordinates of all 4 atoms:
Na  0.250  0.250  0.250
Na  0.750  0.750  0.750
Be  0.000  0.000  0.000
C  0.500  0.500  0.500

## Properties
Formation energy, meV per atom: 1578
Space-group type: Fm-3m
Total DFT energy (no corrections), eV per cell: -10.13
Volume, Å³ per cell: 58

---

The following is a DFT calculation (PBEsol) of a geometry-optimized Na2BeC structure.

Lattice parameters (Å, degrees): 7.196 7.196 7.196 93.02 93.02 153.45
Fractional coordinates of all 8 atoms:
Na  0.000  0.000  0.000
Na  0.000  0.000  0.500
Na  0.000  0.500  0.000
Na  0.500  0.000  0.500
Be  0.375  0.625  0.750
Be  0.625  0.375  0.250
C  0.125  0.875  0.250
C  0.875  0.125  0.750

## Properties
Formation energy, meV per atom: 394
Space-group type: I4_1/amd
Total DFT energy (no corrections), eV per cell: -29.74
Volume, Å³ per cell: 162

---

The following is a DFT calculation (PBEsol) of a geometry-optimized NaBeC2O structure.

Lattice parameters (Å, degrees): 4.287 4.287 2.955 90.00 90.00 90.00
Fractional coordinates of all 5 atoms:
Na  0.000  0.000  0.000
Be  0.500  0.500  0.000
C  0.000  0.500  0.500
C  0.500  0.000  0.500
O  0.500  0.500  0.500

## Properties
Energy relative to the elements, uncorrected, eV per formula unit: 7.6
Space-group type: P4/mmm
Total DFT energy (no corrections), eV per cell: -22.37
Volume, Å³ per cell: 54

---

The following is a DFT calculation (PBEsol) of a geometry-optimized SrBe2NbC structure.

Lattice parameters (Å, degrees): 4.069 4.069 4.396 90.00 90.00 90.00
Fractional coordinates of all 5 atoms:
Sr  0.000  0.000  0.000
Be  0.000  0.500  0.500
Be  0.500  0.000  0.500
Nb  0.500  0.500  0.000
C  0.500  0.500  0.500

## Properties
Formation energy, meV per atom: 857
Space-group type: P4/mmm
Total DFT energy (no corrections), eV per cell: -26.02
Volume, Å³ per cell: 73

---

The following is a DFT calculation (PBEsol) of a geometry-optimized BeNiPb2C structure.

Lattice parameters (Å, degrees): 5.254 5.254 3.451 90.00 90.00 90.00
Fractional coordinates of all 5 atoms:
Be  0.000  0.000  0.000
Ni  0.500  0.500  0.500
Pb  0.000  0.500  0.500
Pb  0.500  0.000  0.500
C  0.500  0.500  0.000

## Properties
Formation energy, meV per atom: 930
Space-group type: P4/mmm
Total DFT energy (no corrections), eV per cell: -23.15
Volume, Å³ per cell: 95

---

The following is a DFT calculation (PBEsol) of a geometry-optimized BeP2CO structure.

Lattice parameters (Å, degrees): 4.404 4.404 2.917 90.00 90.00 90.00
Fractional coordinates of all 5 atoms:
Be  0.000  0.000  0.000
P  0.000  0.500  0.000
P  0.500  0.000  0.000
C  0.500  0.500  0.500
O  0.000  0.000  0.500

## Properties
Energy relative to the elements, uncorrected, eV per formula unit: 5.0
Space-group type: P4/mmm
Total DFT energy (no corrections), eV per cell: -25.49
Volume, Å³ per cell: 57

---

The following is a DFT calculation (PBEsol) of a geometry-optimized BeP2C structure.

Lattice parameters (Å, degrees): 3.904 3.904 3.904 60.00 60.00 60.00
Fractional coordinates of all 4 atoms:
Be  0.000  0.000  0.000
P  0.250  0.250  0.250
P  0.750  0.750  0.750
C  0.500  0.500  0.500

## Properties
Formation energy, meV per atom: 1453
Space-group type: Fm-3m
Total DFT energy (no corrections), eV per cell: -19.41
Volume, Å³ per cell: 42